VASP calculation (GGA-PBEsol) on In2TeRu after structural relaxation.

The structure belongs to space group P4mm (No. 99); the cell edges are 3.174, 3.174 and 8.531 Å and the angles 90.00°, 90.00° and 90.00°. Symmetry generates all atoms from In at (0.000, 0.000, 0.000), In at (0.500, 0.500, 0.281), Te at (0.500, 0.500, 0.673) and Ru at (0.000, 0.000, 0.499).

For the total magnetic moment, the calculation gives 0.004 μB per formula unit. The value obtained for the density of states at the Fermi level is 3.35 states/eV/cell. Its raw formation energy is 0.047 eV per atom.

VASP calculation (GGA-PBEsol) on InTe2Ru after structural relaxation.

The structure belongs to space group P4/mmm (No. 123); the cell edges are 5.068, 5.068 and 3.324 Å and the angles 90.00°, 90.00° and 90.00°. Symmetry generates all atoms from In at (0.000, 0.000, 0.000), Te at (0.000, 0.500, 0.500) and Ru at (0.500, 0.500, 0.000).

For the total magnetic moment, the calculation gives 0.000 μB per formula unit. The value obtained for the density of states at the Fermi level is 3.61 states/eV/cell. Its raw formation energy is 0.470 eV per atom.

VASP calculation (GGA-PBEsol) on TlInRu after structural relaxation.

The structure belongs to space group F-43m (No. 216); the cell edges are 6.349, 6.349 and 6.349 Å and the angles 90.00°, 90.00° and 90.00°. Symmetry generates all atoms from Tl at (0.000, 0.000, 0.000), In at (0.000, 0.000, 0.500) and Ru at (0.250, 0.250, 0.750).

For the total magnetic moment, the calculation gives 0.000 μB per formula unit. The value obtained for the density of states at the Fermi level is 6.98 states/eV/cell. The energy relative to the elements comes out at 0.363 eV/atom.

VASP calculation (GGA-PBEsol) on TlInRu2 after structural relaxation.

The structure belongs to space group F-43m (No. 216); the cell edges are 6.504, 6.504 and 6.504 Å and the angles 90.00°, 90.00° and 90.00°. Symmetry generates all atoms from Tl at (0.000, 0.000, 0.000), In at (0.250, 0.250, 0.250), Ru at (0.000, 0.000, 0.500) and Ru at (0.250, 0.250, 0.750).

For the total magnetic moment, the calculation gives 2.021 μB per formula unit. The value obtained for the density of states at the Fermi level is 18.79 states/eV/cell. The energy relative to the elements comes out at 0.702 eV/atom.

VASP calculation (GGA-PBEsol) on TlIn2Ru after structural relaxation.

The structure belongs to space group Cmmm (No. 65); the cell edges are 5.750, 8.277 and 3.331 Å and the angles 90.00°, 90.00° and 90.00°. Symmetry generates all atoms from Tl at (0.000, 0.000, 0.000), In at (0.250, 0.250, 0.500) and Ru at (0.000, 0.500, 0.000).

For the total magnetic moment, the calculation gives 0.000 μB per formula unit. The value obtained for the density of states at the Fermi level is 4.99 states/eV/cell. The energy relative to the elements comes out at 0.379 eV/atom.

VASP calculation (GGA-PBEsol) on TlIn2Ru after structural relaxation.

The structure belongs to space group F-43m (No. 216); the cell edges are 6.863, 6.863 and 6.863 Å and the angles 90.00°, 90.00° and 90.00°. Symmetry generates all atoms from Tl at (0.000, 0.000, 0.000), In at (0.000, 0.000, 0.500), In at (0.250, 0.250, 0.750) and Ru at (0.250, 0.250, 0.250).

For the total magnetic moment, the calculation gives 0.003 μB per formula unit. The value obtained for the density of states at the Fermi level is 19.06 states/eV/cell. The energy relative to the elements comes out at 0.522 eV/atom.

VASP calculation (GGA-PBEsol) on TlIn2Ru after structural relaxation.

The structure belongs to space group R-3m (No. 166, hexagonal axes); the cell edges are 3.2516, 3.2516 and 27.9373 Å and the angles 90.00°, 90.00° and 120.00°. Symmetry generates all atoms from Tl at (0.0000, 0.0000, 0.0000), In at (0.0000, 0.0000, 0.2362) and Ru at (0.0000, 0.0000, 0.5000).

For the total magnetic moment, the calculation gives 0.000 μB per formula unit. The value obtained for the density of states at the Fermi level is 7.57 states/eV/cell. The energy relative to the elements comes out at 0.205 eV/atom.

VASP calculation (GGA-PBEsol) on InRu2W after structural relaxation.

The structure belongs to space group I4/mmm (No. 139); the cell edges are 4.225, 4.225 and 6.842 Å and the angles 90.00°, 90.00° and 90.00°. Symmetry generates all atoms from In at (0.000, 0.000, 0.000), Ru at (0.000, 0.500, 0.250) and W at (0.000, 0.000, 0.500).

For the total magnetic moment, the calculation gives 0.000 μB per formula unit. The value obtained for the density of states at the Fermi level is 4.69 states/eV/cell. The energy relative to the elements comes out at 0.136 eV/atom.